# 1
VASP calculation (PBE) on YSb2PtBr after structural relaxation.

Computed properties:
- Density: 5.64 g/cm³
- Energy: -3.967 eV/atom
- Calculated volume: 35.8 Å³/atom
- Formation energy (no corrections): 0.518 eV per atom
- Space-group type: No. 123

Lattice parameters (Å, degrees): 5.847 5.847 5.232 90.00 90.00 90.00
Atoms (fractional coordinates):
Y: 0.000 0.000 0.000
Sb: 0.000 0.500 0.000
Sb: 0.500 0.000 0.000
Pt: 0.500 0.500 0.500
Br: 0.000 0.000 0.500


# 2
VASP calculation (PBE) on ScPtBr2 after structural relaxation.

Computed properties:
- Density: 8.12 g/cm³
- Energy: -4.272 eV/atom
- Calculated volume: 20.4 Å³/atom
- Polymorph energy (0 for the lowest one): 505 meV/atom
- Formation energy (no corrections): -0.343 eV per atom
- Space-group type: No. 119

Lattice parameters (Å, degrees): 5.907 5.907 5.907 140.78 140.78 56.66
Atoms (fractional coordinates):
Sc: 0.000 0.000 0.000
Pt: 0.750 0.250 0.500
Br: 0.250 0.750 0.500
Br: 0.500 0.500 0.000


# 3
VASP calculation (PBE) on ScPt3Br after structural relaxation.

Computed properties:
- Density: 10.91 g/cm³
- Energy: -4.634 eV/atom
- Calculated volume: 21.6 Å³/atom
- Polymorph energy (0 for the lowest one): 0 meV/atom
- Formation energy (no corrections): 0.592 eV per atom
- Space-group type: No. 221

Lattice parameters (Å, degrees): 4.763 4.763 4.763 90.00 90.00 90.00
Atoms (fractional coordinates):
Sc: 0.000 0.000 0.000
Pt: 0.000 0.500 0.500
Pt: 0.500 0.000 0.500
Pt: 0.500 0.500 0.000
Br: 0.500 0.500 0.500


# 4
VASP calculation (PBE) on ScPtBr2 after structural relaxation.

Computed properties:
- Density: 5.86 g/cm³
- Energy: -4.709 eV/atom
- Calculated volume: 28.3 Å³/atom
- Polymorph energy (0 for the lowest one): 68 meV/atom
- Formation energy (no corrections): -0.780 eV per atom
- Space-group type: No. 71

Lattice parameters (Å, degrees): 7.865 7.865 7.865 154.56 147.07 42.07
Atoms (fractional coordinates):
Sc: 0.000 0.000 0.000
Pt: 0.500 0.500 0.000
Br: 0.141 0.641 0.500
Br: 0.859 0.359 0.500